Dy5Cu2Pd | Alexandria via LeMat-Bulk | PBE-GGA | optimized geometry; total magnetization = 0.000 μB/cell; energy relative to the elements = -0.331 eV per atom; E_tot = -4.881 eV per atom; mass density = 9011 kg/m³; symmetry = I4/mcm (140); calculated volume = 192.8 Å³/f.u.; Fermi-level density of states = 1.32 states/eV per atom
1.0
-3.538 3.538 7.700
3.538 -3.538 7.700
3.538 3.538 -7.700
Dy Cu Pd
10 4 2
direct
0.000 0.000 0.000
0.022 0.522 0.842
0.180 0.022 0.500
0.320 0.820 0.842
0.478 0.320 0.500
0.500 0.500 0.000
0.522 0.680 0.500
0.680 0.180 0.158
0.820 0.978 0.500
0.978 0.478 0.158
0.123 0.377 0.500
0.377 0.877 0.254
0.623 0.123 0.746
0.877 0.623 0.500
0.250 0.250 0.000
0.750 0.750 0.000

Tc2AsW | Alexandria via LeMat-Bulk | PBE-GGA | optimized geometry; total magnetization = 0.000 μB/cell; energy relative to the elements = 0.146 eV per atom; E_tot = -9.437 eV per atom; mass density = 12450 kg/m³; symmetry = Pmm2 (25); calculated volume = 60.7 Å³/f.u.; Fermi-level density of states = 0.75 states/eV per atom
1.0
2.900 0.000 0.000
0.000 4.118 0.000
0.000 0.000 5.079
Tc As W
2 1 1
direct
0.000 0.000 0.000
0.500 0.500 0.270
0.500 0.500 0.772
0.000 0.000 0.504

YH2Br3 | Alexandria via LeMat-Bulk | PBE-GGA | optimized geometry; total magnetization = 3.990 μB/cell; E_tot = -3.506 eV per atom; mass density = 2692 kg/m³; symmetry = P6_3/mmc (194); calculated volume = 203.9 Å³/f.u.; Fermi-level density of states = 0.00 states/eV per atom
1.0
8.012 0.000 0.000
-4.006 6.938 0.000
0.000 0.000 7.337
Y H Br
2 4 6
direct
0.000 0.000 0.000
0.000 0.000 0.500
0.333 0.667 0.044
0.333 0.667 0.456
0.667 0.333 0.544
0.667 0.333 0.956
0.155 0.311 0.750
0.155 0.845 0.750
0.311 0.155 0.250
0.689 0.845 0.750
0.845 0.155 0.250
0.845 0.689 0.250

MoP3 | Alexandria via LeMat-Bulk | PBE-GGA | optimized geometry; total magnetization = 0.000 μB/cell; energy relative to the elements = 0.332 eV per atom; E_tot = -6.433 eV per atom; mass density = 5068 kg/m³; symmetry = Cmcm (63); calculated volume = 61.9 Å³/f.u.; Fermi-level density of states = 0.34 states/eV per atom; energy above the most stable polymorph in this dataset = 576 meV per atom
1.0
2.434 -5.140 0.000
2.434 5.140 0.000
0.000 0.000 4.946
Mo P
2 6
direct
0.017 0.983 0.750
0.983 0.017 0.250
0.035 0.494 0.250
0.488 0.512 0.750
0.494 0.035 0.750
0.506 0.965 0.250
0.512 0.488 0.250
0.965 0.506 0.750

SrAcSnO | Alexandria via LeMat-Bulk | PBE-GGA | optimized geometry; energy relative to the elements, uncorrected = -158.65 kJ per mole of atoms; total magnetization = 0.090 μB/cell; E_tot = -5.332 eV per atom; mass density = 6397 kg/m³; symmetry = Imm2 (44); calculated volume = 116.6 Å³/f.u.; Fermi-level density of states = 0.34 states/eV per atom
1.0
-1.943 1.994 7.526
1.943 -1.994 7.526
1.943 1.994 -7.526
Sr Ac Sn O
1 1 1 1
direct
0.000 0.000 0.000
0.699 0.699 0.000
0.355 0.355 0.000
0.108 0.608 0.500

CoSb2I | Alexandria via LeMat-Bulk | PBE-GGA | optimized geometry; energy relative to the elements, uncorrected = 85.67 kJ per mole of atoms; total magnetization = 0.000 μB/cell; E_tot = -3.337 eV per atom; mass density = 7568 kg/m³; symmetry = Fm-3m (225); calculated volume = 94.2 Å³/f.u.; Fermi-level density of states = 1.23 states/eV per atom; energy above the most stable polymorph in this dataset = 720 meV per atom
1.0
0.000 3.612 3.612
3.612 0.000 3.612
3.612 3.612 0.000
Co Sb I
1 2 1
direct
0.000 0.000 0.000
0.250 0.250 0.250
0.750 0.750 0.750
0.500 0.500 0.500